Below is NbBAs2Se after structural relaxation, with properties calculated at the PBE level.

abc: 4.358 4.358 4.428
angles: 90.00 90.00 90.00
Space group P4/mmm (No. 123)
Unique sites:
1 Nb 0.000 0.000 0.000
2 B 0.500 0.500 0.500
3 As 0.000 0.500 0.500
4 Se 0.500 0.500 0.000

Results
D(E_F): 0.992 states/eV per atom
spin magnetization: 0.01 μB/f.u.
ΔE_f (raw): 0.76 eV per atom
distance to the lowest polymorph of the same formula: 0.0 meV/atom